[1]
Here is a relaxed structure of LaDyHo6 from Alexandria. Energies are from PBE-GGA.

Cell: 6.5326 6.5564 7.4981 Å, 114.86 115.51 90.26°
Closest atoms and distances in Å follow each position.
Atoms (fractional coordinates):
La (0.0000, 0.0000, 0.0000)  2 Dy 3.27, 4 Ho 3.38-3.57
Dy (0.5000, 0.0000, 0.0000)  2 La 3.27, 6 Ho 3.38-3.64
Ho (0.2362, 0.5610, 0.4718)  6 Ho 3.29-3.45, 1 Dy 3.38, 1 La 3.57
Ho (0.2526, 0.5003, 0.9990)  6 Ho 3.23-3.45
Ho (0.2679, 0.0894, 0.5348)  6 Ho 3.29-3.44, 1 La 3.38, 1 Dy 3.46
Ho (0.7321, 0.9106, 0.4652)  6 Ho 3.29-3.44, 1 La 3.38, 1 Dy 3.46
Ho (0.7474, 0.4997, 0.0010)  6 Ho 3.23-3.45
Ho (0.7638, 0.4390, 0.5282)  6 Ho 3.29-3.45, 1 Dy 3.38, 1 La 3.57

Computed properties:
Total DFT energy (no corrections) = -4.42 eV/atom
V = 32.02 Å³/atom
ΔH_f (0 K) = 1.6 eV/f.u.
Symmetry = No. 2
D(E_F) = 13.082 states/eV/f.u.

[2]
Here is a relaxed structure of La2DyHo from Alexandria. Energies are from PBE-GGA.

Cell: 7.2271 7.2271 5.2212 Å, 90.00 90.00 92.66°
Closest atoms and distances in Å follow each position.
Atoms (fractional coordinates):
La (0.1253, 0.3752, 0.2500)  4 Ho 3.61-3.62, 4 Dy 3.61-3.62, 4 La 3.69
La (0.3752, 0.1253, 0.7500)  4 Ho 3.61-3.62, 4 Dy 3.61-3.62, 4 La 3.69
La (0.6248, 0.8747, 0.2500)  4 Ho 3.61-3.62, 4 Dy 3.61-3.62, 4 La 3.69
La (0.8747, 0.6248, 0.7500)  4 Ho 3.61-3.62, 4 Dy 3.61-3.62, 4 La 3.69
Dy (0.1252, 0.8748, 0.2500)  8 La 3.61-3.62, 2 Ho 3.69, 2 Dy 3.70
Dy (0.8748, 0.1252, 0.7500)  8 La 3.61-3.62, 2 Ho 3.69, 2 Dy 3.70
Ho (0.3752, 0.6248, 0.7500)  8 La 3.61-3.62, 2 Ho 3.69, 2 Dy 3.69
Ho (0.6248, 0.3752, 0.2500)  8 La 3.61-3.62, 2 Ho 3.69, 2 Dy 3.69

Computed properties:
Total DFT energy (no corrections) = -4.73 eV/atom
V = 34.05 Å³/atom
ΔH_f (0 K) = 0.1 eV/f.u.
Symmetry = No. 63
D(E_F) = 6.509 states/eV/f.u.

[3]
Here is a relaxed structure of La2Dy2Ho7 from Alexandria. Energies are from PBE-GGA.

Cell: 6.8875 6.8875 9.4172 Å, 90.00 90.00 123.54°
Closest atoms and distances in Å follow each position.
Atoms (fractional coordinates):
La (0.2487, 0.2487, 0.0000)  2 La 3.24-3.28, 6 Ho 3.40-3.50
La (0.7513, 0.7513, 0.0000)  2 La 3.24-3.28, 6 Ho 3.40-3.50
Dy (0.2240, 0.7760, 0.5000)  7 Ho 3.22-3.40, 2 Dy 3.32
Dy (0.7760, 0.2240, 0.5000)  7 Ho 3.22-3.40, 2 Dy 3.32
Ho (0.0000, 0.0000, 0.3174)  2 Dy 3.22, 2 La 3.40, 1 Ho 3.44
Ho (0.0000, 0.0000, 0.6826)  2 Dy 3.22, 2 La 3.40, 1 Ho 3.44
Ho (0.0000, 0.5000, 0.1848)  3 Ho 3.26-3.48, 2 Dy 3.40, 2 La 3.50
Ho (0.0000, 0.5000, 0.8152)  3 Ho 3.26-3.48, 2 Dy 3.40, 2 La 3.50
Ho (0.5000, 0.0000, 0.1848)  3 Ho 3.26-3.48, 2 Dy 3.40, 2 La 3.50
Ho (0.5000, 0.0000, 0.8152)  3 Ho 3.26-3.48, 2 Dy 3.40, 2 La 3.50
Ho (0.5000, 0.5000, 0.5000)  2 Dy 3.35, 4 Ho 3.68

Computed properties:
Total DFT energy (no corrections) = -4.30 eV/atom
V = 33.85 Å³/atom
ΔH_f (0 K) = 3.8 eV/f.u.
Symmetry = No. 65
D(E_F) = 17.810 states/eV/f.u.

[4]
Here is a relaxed structure of La9DyHo4 from Alexandria. Energies are from PBE-GGA.

Cell: 10.0439 10.0439 11.5064 Å, 90.00 90.00 120.00°
Closest atoms and distances in Å follow each position.
Atoms (fractional coordinates):
La (0.0782, 0.5391, 0.2500)  2 Ho 3.39, 1 Dy 3.58
La (0.2070, 0.4141, 0.5293)  1 Dy 3.36, 2 Ho 3.62-3.64, 2 La 3.66
La (0.2070, 0.4141, 0.9707)  1 Dy 3.36, 2 Ho 3.62-3.64, 2 La 3.66
La (0.2070, 0.7930, 0.5293)  1 Dy 3.36, 2 Ho 3.62-3.64, 2 La 3.66
La (0.2070, 0.7930, 0.9707)  1 Dy 3.36, 2 Ho 3.62-3.64, 2 La 3.66
La (0.4141, 0.2070, 0.0293)  1 Dy 3.36, 2 Ho 3.62-3.64, 2 La 3.66
La (0.4141, 0.2070, 0.4707)  1 Dy 3.36, 2 Ho 3.62-3.64, 2 La 3.66
La (0.4609, 0.5391, 0.2500)  2 Ho 3.39, 1 Dy 3.58
La (0.4609, 0.9218, 0.2500)  2 Ho 3.39, 1 Dy 3.58
La (0.5391, 0.0782, 0.7500)  2 Ho 3.39, 1 Dy 3.58
La (0.5391, 0.4609, 0.7500)  2 Ho 3.39, 1 Dy 3.58
La (0.5859, 0.7930, 0.5293)  1 Dy 3.36, 2 Ho 3.62-3.64, 2 La 3.66
La (0.5859, 0.7930, 0.9707)  1 Dy 3.36, 2 Ho 3.62-3.64, 2 La 3.66
La (0.7930, 0.2070, 0.0293)  1 Dy 3.36, 2 Ho 3.62-3.64, 2 La 3.66
La (0.7930, 0.2070, 0.4707)  1 Dy 3.36, 2 Ho 3.62-3.64, 2 La 3.66
La (0.7930, 0.5859, 0.0293)  1 Dy 3.36, 2 Ho 3.62-3.64, 2 La 3.66
La (0.7930, 0.5859, 0.4707)  1 Dy 3.36, 2 Ho 3.62-3.64, 2 La 3.66
La (0.9218, 0.4609, 0.7500)  2 Ho 3.39, 1 Dy 3.58
Dy (0.3333, 0.6667, 0.7500)  9 La 3.36-3.58
Dy (0.6667, 0.3333, 0.2500)  9 La 3.36-3.58
Ho (0.0000, 0.0000, 0.0000)  6 Ho 3.45, 6 La 3.62
Ho (0.0000, 0.0000, 0.5000)  6 Ho 3.45, 6 La 3.62
Ho (0.1094, 0.2187, 0.2500)  4 Ho 3.30-3.45, 4 La 3.39-3.64
Ho (0.1094, 0.8906, 0.2500)  4 Ho 3.30-3.45, 4 La 3.39-3.64
Ho (0.2187, 0.1094, 0.7500)  4 Ho 3.30-3.45, 4 La 3.39-3.64
Ho (0.7813, 0.8906, 0.2500)  4 Ho 3.30-3.45, 4 La 3.39-3.64
Ho (0.8906, 0.1094, 0.7500)  4 Ho 3.30-3.45, 4 La 3.39-3.64
Ho (0.8906, 0.7813, 0.7500)  4 Ho 3.30-3.45, 4 La 3.39-3.64

Computed properties:
Total DFT energy (no corrections) = -4.66 eV/atom
V = 35.90 Å³/atom
ΔH_f (0 K) = 2.0 eV/f.u.
Symmetry = No. 194
D(E_F) = 23.126 states/eV/f.u.